First-principles (PBE-GGA) data for a geometry-optimized TmGa3CoPt structure, as listed in the Alexandria database.

abc: 5.252 8.129 6.631
angles: 127.81 90.00 90.00
Sites, in units of the cell vectors:
1 Tm 0.750 0.297 0.595
2 Tm 0.250 0.703 0.405
3 Ga 0.250 0.170 0.340
4 Ga 0.000 0.243 0.000
5 Ga 0.500 0.757 0.000
6 Ga 0.500 0.243 0.000
7 Ga 0.000 0.757 0.000
8 Ga 0.750 0.830 0.660
9 Co 0.250 0.946 0.893
10 Co 0.750 0.054 0.107
11 Pt 0.250 0.412 0.824
12 Pt 0.750 0.588 0.176

DFT total energy	-4.8739	eV per atom
total moment	0.000	μB/cell

=====

First-principles (PBE-GGA) data for a geometry-optimized Y2Ga4CoPt3 structure, as listed in the Alexandria database.

abc: 4.088 4.088 10.882
angles: 90.00 90.00 90.00
Sites, in units of the cell vectors:
1 Y 0.500 0.000 0.261
2 Y 0.000 0.500 0.739
3 Ga 0.500 0.500 0.000
4 Ga 0.000 0.000 0.000
5 Ga 0.500 0.000 0.627
6 Ga 0.000 0.500 0.373
7 Co 0.500 0.500 0.500
8 Pt 0.000 0.000 0.500
9 Pt 0.500 0.000 0.857
10 Pt 0.000 0.500 0.143

DFT total energy	-5.8616	eV per atom
total moment	0.001	μB/cell

=====

First-principles (PBE-GGA) data for a geometry-optimized Y2Ga3CoPt4 structure, as listed in the Alexandria database.

abc: 4.077 4.077 10.967
angles: 90.00 90.00 90.00
Sites, in units of the cell vectors:
1 Y 0.500 0.000 0.257
2 Y 0.000 0.500 0.743
3 Ga 0.000 0.000 0.500
4 Ga 0.500 0.000 0.863
5 Ga 0.000 0.500 0.137
6 Co 0.500 0.500 0.500
7 Pt 0.500 0.500 0.000
8 Pt 0.000 0.000 0.000
9 Pt 0.500 0.000 0.638
10 Pt 0.000 0.500 0.362

DFT total energy	-6.1651	eV per atom
total moment	1.429	μB/cell

=====

First-principles (PBE-GGA) data for a geometry-optimized PuGa8Co4 structure, as listed in the Alexandria database.

abc: 5.142 6.582 6.582
angles: 81.22 67.01 67.01
Sites, in units of the cell vectors:
1 Pu 0.000 0.000 0.000
2 Ga 0.000 0.339 0.661
3 Ga 0.000 0.661 0.339
4 Ga 0.339 0.661 0.661
5 Ga 0.661 0.339 0.339
6 Ga 0.500 0.778 0.222
7 Ga 0.500 0.222 0.778
8 Ga 0.278 0.222 0.222
9 Ga 0.722 0.778 0.778
10 Co 0.000 0.000 0.500
11 Co 0.500 0.000 0.500
12 Co 0.000 0.500 0.000
13 Co 0.500 0.500 0.000

DFT total energy	-5.4318	eV per atom
total moment	5.108	μB/cell